Sc4SnSbO (PBE-GGA, relaxed); E_tot = -47.937 eV/f.u.; E_form (uncorrected) = -1.361 eV per atom
1.0
-0.172 -1.210 -5.914
4.975 -3.384 0.548
-4.345 -5.679 4.372
Sb Sc Sn O
2 8 2 2
Cartesian
-2.223 -5.762 1.244 Sb
2.680 -4.511 -2.238 Sb
3.015 -3.553 0.639 Sc
-2.558 -6.721 -1.633 Sc
-2.259 -3.445 -0.771 Sc
0.010 -7.815 1.599 Sc
0.229 -5.137 -0.497 Sc
0.447 -2.459 -2.593 Sc
-2.173 -2.840 2.186 Sc
0.315 -4.532 2.460 Sc
0.173 -8.067 -1.437 Sn
0.284 -2.207 0.443 Sn
-1.064 -4.602 -2.110 O
1.522 -5.672 1.117 O